Record 1
First-principles (GGA-PBE) data for a geometry-optimized Er3Al6Ga5 structure, as listed in Alexandria via LeMat-Bulk.

The structure in POSCAR format:
```
Er3Al6Ga5
1.0
4.182 0.000 0.000
0.000 12.782 0.000
0.000 0.000 9.931
Er Al Ga
6 12 10
Cartesian
1.046 0.902 2.466
1.046 5.489 2.466
1.046 9.586 2.594
3.137 3.195 7.337
3.137 7.293 7.464
3.137 11.880 7.464
1.046 1.024 6.049
1.046 3.195 0.229
1.046 3.195 4.548
1.046 5.367 6.049
1.046 7.675 9.780
1.046 11.498 9.780
3.137 1.284 0.150
3.137 5.107 0.150
3.137 7.415 3.882
3.137 9.586 5.383
3.137 9.586 9.702
3.137 11.758 3.882
1.046 1.107 8.561
1.046 5.284 8.561
1.046 7.882 5.313
1.046 9.586 7.737
1.046 11.291 5.313
3.137 1.491 4.618
3.137 3.195 2.193
3.137 4.900 4.618
3.137 7.498 1.370
3.137 11.675 1.370
```

Properties
**Crystal system**: orthorhombic
**Size of the total moment**: 0.000 μB per formula unit

Record 2
First-principles (GGA-PBE) data for a geometry-optimized Er4Al3Ga structure, as listed in Alexandria via LeMat-Bulk.

The structure in POSCAR format:
```
Er4Al3Ga
1.0
4.052 0.000 0.000
0.000 4.251 0.000
0.000 0.000 11.169
Er Al Ga
4 3 1
Cartesian
0.000 0.000 0.000
0.000 2.126 3.237
2.026 0.000 5.529
2.026 2.126 8.865
0.000 0.000 7.995
0.000 2.126 6.391
2.026 2.126 0.841
2.026 0.000 2.457
```

Properties
**Crystal system**: orthorhombic
**Size of the total moment**: 0.030 μB per formula unit

Record 3
First-principles (GGA-PBE) data for a geometry-optimized ErAl3Ga2 structure, as listed in Alexandria via LeMat-Bulk.

The structure in POSCAR format:
```
ErAl3Ga2
1.0
4.205 0.000 0.000
0.000 4.205 0.000
0.000 0.000 6.743
Er Al Ga
1 3 2
Cartesian
0.000 0.000 0.000
0.000 2.103 2.166
2.103 0.000 4.577
2.103 2.103 0.000
0.000 2.103 4.717
2.103 0.000 2.026
```

Properties
**Crystal system**: tetragonal
**Size of the total moment**: 0.000 μB per formula unit

Record 4
First-principles (GGA-PBE) data for a geometry-optimized Er3AlGa5 structure, as listed in Alexandria via LeMat-Bulk.

The structure in POSCAR format:
```
Er3AlGa5
1.0
-4.169 4.169 5.669
4.169 -4.169 5.669
4.169 4.169 -5.669
Er Al Ga
6 2 10
Cartesian
5.274 1.105 0.000
0.000 0.000 2.835
1.105 3.063 0.000
3.063 1.105 5.669
0.000 0.000 8.504
-1.105 3.063 5.669
4.169 0.000 2.835
0.000 4.169 2.835
0.000 0.000 0.000
2.629 1.540 -1.745
2.629 -1.540 3.924
2.629 1.540 1.745
2.629 -1.540 7.414
0.000 0.000 5.669
1.540 5.708 -1.745
1.540 2.629 3.924
1.540 5.708 1.745
1.540 2.629 7.414
```

Properties
**Crystal system**: tetragonal
**Size of the total moment**: 0.000 μB per formula unit

DFT total energy (computed, eV per cell): -113.28; -35.99; -22.93; -70.80
ΔH_f (0 K) (computed, meV/atom): -383; -436; -181; -315